# 1
Ta2BAu | PBE-GGA | optimized geometry

Output
**Symmetry**: I-42d
**DOS(E_F)**: 0.787 states/eV per atom
**Electronic total energy**: -8.164 eV/atom
**Calculated volume**: 64.0 Å³/f.u.

extended XYZ file:
```
8
Lattice="6.760 0.000 0.000 0.000 6.760 0.000 3.380 3.380 2.800" Properties=species:S:1:pos:R:3 pbc="T T T"
B 3.380 3.380 0.000
B 3.380 6.760 1.400
Au 0.000 0.000 0.000
Au 6.760 3.380 1.400
Ta 4.716 1.690 0.700
Ta 2.043 5.070 0.700
Ta 5.070 5.423 2.100
Ta 8.450 8.096 2.100
```



# 2
Tl4Br3O | PBE-GGA | optimized geometry

Output
**Symmetry**: Pmn2_1
**DOS(E_F)**: 0.421 states/eV per atom
**Electronic total energy**: -3.079 eV/atom
**Calculated volume**: 306.0 Å³/f.u.

extended XYZ file:
```
16
Lattice="6.979 0.000 0.000 0.000 10.161 0.000 0.000 0.000 8.630" Properties=species:S:1:pos:R:3 pbc="T T T"
Tl 0.464 9.942 0.000
Tl 4.603 2.332 0.000
Tl 0.453 3.297 2.174
Tl 3.942 6.864 2.141
Tl 1.113 7.829 4.315
Tl 3.953 0.219 4.315
Tl 3.942 6.864 6.489
Tl 0.453 3.297 6.456
Br 3.974 9.580 0.000
Br 0.368 6.739 1.735
Br 3.857 3.422 2.580
Br 0.484 0.581 4.315
Br 3.857 3.422 6.050
Br 0.368 6.739 6.895
O 6.872 2.234 0.000
O 3.383 7.927 4.315
```



# 3
LiH2Rh | PBE-GGA | optimized geometry

Output
**Symmetry**: R3m
**DOS(E_F)**: 0.384 states/eV per atom
**Electronic total energy**: -4.243 eV/atom
**Calculated volume**: 34.6 Å³/f.u.

extended XYZ file:
```
4
Lattice="-2.781 -0.918 0.339 -1.054 -2.167 -1.699 0.120 -4.128 2.633" Properties=species:S:1:pos:R:3 pbc="T T T"
Li -1.809 -3.714 0.744
H -0.131 -3.571 2.078
H -1.058 -1.517 0.034
Rh -2.454 -6.144 1.686
```



Q: What is the formula in the second record?
A: Tl4Br3O